# Sm3Zn2Ge3

A relaxed structure of Sm3Zn2Ge3 (PBE, Alexandria via LeMat-Bulk).

The total moment comes out at 1.46 μB/cell. Its volume is 21.84 Å³/atom. Its space group is No. 63. As for the calculated total energy: -35.841 eV/f.u.

Geometry as extended XYZ:
```
16
Lattice="2.137 -5.607 0.000 2.137 5.607 0.000 0.000 0.000 14.581" Properties=species:S:1:pos:R:3 pbc="T T T"
Sm 2.137 4.812 8.934
Sm 2.137 4.812 12.937
Sm 2.137 1.612 10.936
Sm 2.137 -1.612 3.645
Sm 2.137 -4.812 1.644
Sm 2.137 -4.812 5.647
Zn 2.137 3.063 1.409
Zn 2.137 3.063 5.881
Zn 2.137 -3.063 8.700
Zn 2.137 -3.063 13.172
Ge 2.137 1.617 3.645
Ge 2.137 1.343 7.931
Ge 2.137 1.343 13.941
Ge 2.137 -1.343 0.640
Ge 2.137 -1.343 6.650
Ge 2.137 -1.617 10.936
```

***

# Sm2Zn3Ge2

A relaxed structure of Sm2Zn3Ge2 (PBE, Alexandria via LeMat-Bulk).

The total moment comes out at 0.00 μB/cell. Its volume is 22.24 Å³/atom. Its space group is No. 65. As for the calculated total energy: -24.898 eV/f.u.

Geometry as extended XYZ:
```
14
Lattice="3.871 0.000 0.000 0.000 19.475 0.000 0.000 0.000 4.130" Properties=species:S:1:pos:R:3 pbc="T T T"
Sm 0.000 3.164 0.000
Sm 0.000 16.311 0.000
Sm 1.936 6.574 0.000
Sm 1.936 12.901 0.000
Zn 0.000 0.000 0.000
Zn 0.000 8.479 2.065
Zn 0.000 10.996 2.065
Zn 1.936 1.258 2.065
Zn 1.936 9.737 0.000
Zn 1.936 18.217 2.065
Ge 0.000 5.707 2.065
Ge 0.000 13.768 2.065
Ge 1.936 4.031 2.065
Ge 1.936 15.444 2.065
```

***

# Sm2Zn3Ge4

A relaxed structure of Sm2Zn3Ge4 (PBE, Alexandria via LeMat-Bulk).

The total moment comes out at 0.00 μB/cell. Its volume is 19.58 Å³/atom. Its space group is No. 64. As for the calculated total energy: -35.599 eV/f.u.

Geometry as extended XYZ:
```
18
Lattice="2.932 -7.658 0.000 2.932 7.658 0.000 0.000 0.000 7.847" Properties=species:S:1:pos:R:3 pbc="T T T"
Sm 2.932 5.888 7.193
Sm 2.932 1.770 3.269
Sm 2.932 -1.770 4.578
Sm 2.932 -5.888 0.654
Zn 0.000 0.000 3.924
Zn 1.466 3.264 5.885
Zn 1.466 -3.264 1.962
Zn 2.932 0.000 0.000
Zn 4.399 3.264 5.885
Zn 4.399 -3.264 1.962
Ge 2.932 4.762 4.299
Ge 1.466 0.731 5.885
Ge 1.466 -0.731 1.962
Ge 2.932 2.895 0.375
Ge 2.932 -2.895 7.472
Ge 4.399 0.731 5.885
Ge 4.399 -0.731 1.962
Ge 2.932 -4.762 3.549
```

***

# Sm4ZnGe2

A relaxed structure of Sm4ZnGe2 (PBE, Alexandria via LeMat-Bulk).

The total moment comes out at 0.00 μB/cell. Its volume is 27.36 Å³/atom. Its space group is No. 166. As for the calculated total energy: -32.398 eV/f.u.

Geometry as extended XYZ:
```
7
Lattice="2.496 1.441 8.874 -2.496 1.441 8.874 0.000 -2.882 8.874" Properties=species:S:1:pos:R:3 pbc="T T T"
Sm 0.000 0.000 3.270
Sm 0.000 0.000 7.744
Sm 0.000 0.000 18.880
Sm 0.000 0.000 23.354
Zn 0.000 0.000 13.312
Ge 0.000 0.000 10.791
Ge 0.000 0.000 15.833
```

***

# Sm6Zn5Ge

A relaxed structure of Sm6Zn5Ge (PBE, Alexandria via LeMat-Bulk).

The total moment comes out at 0.00 μB/cell. Its volume is 24.11 Å³/atom. Its space group is No. 65. As for the calculated total energy: -44.025 eV/f.u.

Geometry as extended XYZ:
```
12
Lattice="2.563 -7.738 0.000 2.563 7.738 0.000 0.000 0.000 7.295" Properties=species:S:1:pos:R:3 pbc="T T T"
Sm 0.000 0.000 1.781
Sm 0.000 0.000 5.513
Sm 2.563 2.545 1.827
Sm 2.563 2.545 5.468
Sm 2.563 -2.545 1.827
Sm 2.563 -2.545 5.468
Zn 2.563 5.147 3.647
Zn 2.563 5.010 0.000
Zn 2.563 0.000 3.647
Zn 2.563 -5.010 0.000
Zn 2.563 -5.147 3.647
Ge 2.563 0.000 0.000
```

***

# SmZn3Ge3

A relaxed structure of SmZn3Ge3 (PBE, Alexandria via LeMat-Bulk).

The total moment comes out at 0.00 μB/cell. Its volume is 22.83 Å³/atom. Its space group is No. 223. As for the calculated total energy: -21.371 eV/f.u.

Geometry as extended XYZ:
```
14
Lattice="6.837 0.000 0.000 0.000 6.837 0.000 0.000 0.000 6.837" Properties=species:S:1:pos:R:3 pbc="T T T"
Sm 0.000 0.000 0.000
Sm 3.419 3.419 3.419
Zn 0.000 1.709 3.419
Zn 0.000 5.128 3.419
Zn 1.709 3.419 0.000
Zn 3.419 0.000 1.709
Zn 3.419 0.000 5.128
Zn 5.128 3.419 0.000
Ge 0.000 3.419 1.709
Ge 0.000 3.419 5.128
Ge 1.709 0.000 3.419
Ge 3.419 1.709 0.000
Ge 3.419 5.128 0.000
Ge 5.128 0.000 3.419
```